1.
{
  "formula": "Nd3ZnSi",
  "functional": "GGA-PBE",
  "state": "optimized geometry",
  "e_form_raw_mev_per_atom": -352,
  "magnetic_moment_mub_per_atom": 0.0002,
  "cell": [[4.454, 0.000, 0.000], [-2.198, 6.780, 0.000], [-0.049, -0.668, 8.983]],
  "species": ["Nd", "Nd", "Nd", "Nd", "Nd", "Nd", "Zn", "Zn", "Si", "Si"],
  "frac_coords": [[0.048, 0.100, 0.320], [0.237, 0.471, 0.673], [0.401, 0.814, 0.102], [0.599, 0.186, 0.898], [0.763, 0.529, 0.327], [0.952, 0.900, 0.680], [0.201, 0.389, 0.065], [0.799, 0.611, 0.935], [0.412, 0.823, 0.445], [0.588, 0.177, 0.555]]
}

=====

2.
{
  "formula": "HoSc6S8",
  "functional": "GGA-PBE",
  "state": "optimized geometry",
  "e_form_raw_mev_per_atom": -1929,
  "magnetic_moment_mub_per_atom": 0.0000,
  "polymorph_energy_mev_per_atom": 0,
  "cell": [[0.000, 5.230, 5.230], [5.230, 0.000, 5.230], [5.230, 5.230, 0.000]],
  "species": ["Ho", "Sc", "Sc", "Sc", "Sc", "Sc", "Sc", "S", "S", "S", "S", "S", "S", "S", "S"],
  "frac_coords": [[0.000, 0.000, 0.000], [0.000, 0.000, 0.500], [0.000, 0.500, 0.000], [0.000, 0.500, 0.500], [0.500, 0.000, 0.000], [0.500, 0.000, 0.500], [0.500, 0.500, 0.000], [0.250, 0.250, 0.250], [0.258, 0.258, 0.742], [0.258, 0.742, 0.258], [0.258, 0.742, 0.742], [0.742, 0.258, 0.258], [0.742, 0.258, 0.742], [0.742, 0.742, 0.258], [0.750, 0.750, 0.750]]
}

=====

3.
{
  "formula": "HfF",
  "functional": "GGA-PBE",
  "state": "optimized geometry",
  "e_form_raw_mev_per_atom": -1691,
  "magnetic_moment_mub_per_atom": 0.0001,
  "polymorph_energy_mev_per_atom": 446,
  "cell": [[8.733, 0.000, 0.000], [0.000, 4.109, 0.000], [0.000, 0.000, 5.345]],
  "species": ["Hf", "Hf", "Hf", "Hf", "Hf", "Hf", "F", "F", "F", "F", "F", "F"],
  "frac_coords": [[0.000, 0.188, 0.000], [0.172, 0.515, 0.512], [0.328, 0.485, 0.012], [0.500, 0.812, 0.500], [0.672, 0.485, 0.012], [0.828, 0.515, 0.512], [0.000, 0.849, 0.334], [0.247, 0.977, 0.030], [0.253, 0.023, 0.530], [0.500, 0.151, 0.834], [0.747, 0.023, 0.530], [0.753, 0.977, 0.030]]
}

=====

4.
{
  "formula": "RbInP2",
  "functional": "GGA-PBE",
  "state": "optimized geometry",
  "magnetic_moment_mub_per_atom": 0.0000,
  "delta_e_f_mev_per_atom": 93,
  "cell": [[5.379, 0.000, 0.000], [0.000, 5.379, 0.000], [0.000, 0.000, 17.389]],
  "species": ["Rb", "Rb", "Rb", "Rb", "In", "In", "In", "In", "P", "P", "P", "P", "P", "P", "P", "P"],
  "frac_coords": [[0.000, 0.000, 0.000], [0.000, 0.500, 0.250], [0.500, 0.000, 0.750], [0.500, 0.500, 0.500], [0.000, 0.000, 0.500], [0.000, 0.500, 0.750], [0.500, 0.000, 0.250], [0.500, 0.500, 0.000], [0.065, 0.250, 0.625], [0.250, 0.565, 0.875], [0.250, 0.935, 0.375], [0.435, 0.250, 0.125], [0.565, 0.750, 0.125], [0.750, 0.065, 0.375], [0.750, 0.435, 0.875], [0.935, 0.750, 0.625]]
}